(1)
The following is a SCAN calculation of a PBEsol-optimized structure of Tl2SbPb, from Alexandria.

Cell lengths 4.0052, 4.0152, 7.1593 Å; angles 90.00, 90.00, 90.00 degrees
Last column: nearest neighbours and their distance in Å.
Fractional coordinates of all 4 atoms:
Pb1 0.0000 0.0000 0.5231  4 Sb 3.22, 5 Tl 3.35-3.45
Sb1 0.5000 0.5000 0.7376  4 Pb 3.22, 5 Tl 3.37-3.50
Tl1 0.0000 0.0000 0.9910  1 Pb 3.35, 4 Sb 3.37, 4 Tl 3.38
Tl2 0.5000 0.5000 0.2482  4 Tl 3.38, 4 Pb 3.45, 2 Sb 3.50-3.66

DFT total energy: -257.74 eV/cell
formation energy from raw total energies: 0.006 eV/atom
calculated density: 10.6 g cm⁻³
symmetry: P4mm, No. 99

(2)
The following is a SCAN calculation of a PBEsol-optimized structure of IrOsRu2, from Alexandria.

Cell lengths 2.6805, 3.7989, 5.3644 Å; angles 90.00, 90.00, 90.00 degrees
Last column: nearest neighbours and their distance in Å.
Fractional coordinates of all 4 atoms:
Ru1 0.0000 0.0000 0.0006  6 Ru 2.67-2.68, 4 Os 2.67, 2 Ir 2.68-2.69
Ru2 0.5000 0.5000 0.2459  2 Os 2.64-2.73, 6 Ru 2.67-2.68, 4 Ir 2.69
Ir1 0.0000 0.0000 0.4992  6 Ru 2.68-2.69, 2 Ir 2.68, 4 Os 2.70
Os1 0.5000 0.5000 0.7542  6 Ru 2.64-2.73, 2 Os 2.68, 4 Ir 2.70

DFT total energy: -212.48 eV/cell
calculated density: 17.8 g cm⁻³
symmetry: Pmm2, No. 25

(3)
The following is a SCAN calculation of a PBEsol-optimized structure of Sr2Mg, from Alexandria.

Cell lengths 6.1128, 6.1128, 7.5304 Å; angles 90.00, 90.00, 120.00 degrees
Last column: nearest neighbours and their distance in Å.
Fractional coordinates of all 6 atoms:
Sr1 0.0000 0.0000 0.0000  8 Sr 3.77-4.00, 6 Mg 4.00
Sr2 0.0000 0.0000 0.5000  8 Sr 3.77-4.00, 6 Mg 4.00
Sr3 0.6667 0.3333 0.7500  5 Mg 3.53-3.77
Sr4 0.3333 0.6667 0.2500  5 Mg 3.53-3.77
Mg1 0.6667 0.3333 0.2500  5 Sr 3.53-3.77
Mg2 0.3333 0.6667 0.7500  5 Sr 3.53-3.77

DFT total energy: -98.93 eV/cell
calculated density: 2.7 g cm⁻³
symmetry: P6_3/mmc, No. 194

Q: Which value of DFT total energy does entry 2 give?
A: -212.48 eV/cell

Q: Look up the calculated density of the second one.
A: 17.8 g cm⁻³